# Li2TbPuHg4, relaxed, DFT PBE
# Crystal system = trigonal
# Size of the total moment = 0.735 μB per atom
# Raw total energy = -0.1213 Ha/atom
# N(E_F) = 47.1 states/eV per cell
data_Li2TbPuHg4
_chemical_formula_sum 'Li6 Tb3 Pu3 Hg12'
_symmetry_space_group_name_H-M 'R -3 m'
_symmetry_Int_Tables_number 166
_symmetry_space_group_name_Hall '-R 3 2"'
_cell_length_a 5.0717
_cell_length_b 5.0717
_cell_length_c 25.0289
_cell_angle_alpha 90.00
_cell_angle_beta 90.00
_cell_angle_gamma 120.00
loop_
_atom_site_label
_atom_site_fract_x
_atom_site_fract_y
_atom_site_fract_z
Li1 0.0000 0.0000 0.2491
Tb1 0.0000 0.0000 0.5000
Pu1 0.0000 0.0000 0.0000
Hg1 0.0000 0.0000 0.1257
Hg2 0.0000 0.0000 0.3774

# Li2TmPuHg4, relaxed, DFT PBE
# Crystal system = trigonal
# Size of the total moment = 0.742 μB per atom
# Raw total energy = -0.1201 Ha/atom
# N(E_F) = 45.6 states/eV per cell
data_Li2TmPuHg4
_chemical_formula_sum 'Li6 Tm3 Pu3 Hg12'
_symmetry_space_group_name_H-M 'R -3 m'
_symmetry_Int_Tables_number 166
_symmetry_space_group_name_Hall '-R 3 2"'
_cell_length_a 5.0482
_cell_length_b 5.0482
_cell_length_c 24.8446
_cell_angle_alpha 90.00
_cell_angle_beta 90.00
_cell_angle_gamma 120.00
loop_
_atom_site_label
_atom_site_fract_x
_atom_site_fract_y
_atom_site_fract_z
Li1 0.0000 0.0000 0.2483
Tm1 0.0000 0.0000 0.5000
Pu1 0.0000 0.0000 0.0000
Hg1 0.0000 0.0000 0.1275
Hg2 0.0000 0.0000 0.3784

# LiTmPuHg, relaxed, DFT PBE
# Crystal system = cubic
# Size of the total moment = 1.578 μB per atom
# Raw total energy = -0.1926 Ha/atom
# N(E_F) = 47.2 states/eV per cell
data_LiTmPuHg
_chemical_formula_sum 'Li4 Tm4 Pu4 Hg4'
_symmetry_space_group_name_H-M 'F -4 3 m'
_symmetry_Int_Tables_number 216
_symmetry_space_group_name_Hall 'F -4 2 3'
_cell_length_a 7.383
_cell_length_b 7.383
_cell_length_c 7.383
_cell_angle_alpha 90.00
_cell_angle_beta 90.00
_cell_angle_gamma 90.00
loop_
_atom_site_label
_atom_site_fract_x
_atom_site_fract_y
_atom_site_fract_z
Li1 0.000 0.000 0.000
Tm1 0.250 0.250 0.750
Pu1 0.250 0.250 0.250
Hg1 0.000 0.000 0.500

# LiY2PuHg4, relaxed, DFT PBE
# Crystal system = trigonal
# Size of the total moment = 0.766 μB per atom
# Raw total energy = -0.1524 Ha/atom
# N(E_F) = 32.3 states/eV per cell
data_LiY2PuHg4
_chemical_formula_sum 'Li3 Y6 Pu3 Hg12'
_symmetry_space_group_name_H-M 'R -3 m'
_symmetry_Int_Tables_number 166
_symmetry_space_group_name_Hall '-R 3 2"'
_cell_length_a 5.1785
_cell_length_b 5.1785
_cell_length_c 25.6365
_cell_angle_alpha 90.00
_cell_angle_beta 90.00
_cell_angle_gamma 120.00
loop_
_atom_site_label
_atom_site_fract_x
_atom_site_fract_y
_atom_site_fract_z
Li1 0.0000 0.0000 0.0000
Y1 0.0000 0.0000 0.2526
Pu1 0.0000 0.0000 0.5000
Hg1 0.0000 0.0000 0.1195
Hg2 0.0000 0.0000 0.3731

# LiYPuHg, relaxed, DFT PBE
# Crystal system = cubic
# Size of the total moment = 1.607 μB per atom
# Raw total energy = -0.2114 Ha/atom
# N(E_F) = 48.2 states/eV per cell
data_LiYPuHg
_chemical_formula_sum 'Li4 Y4 Pu4 Hg4'
_symmetry_space_group_name_H-M 'F -4 3 m'
_symmetry_Int_Tables_number 216
_symmetry_space_group_name_Hall 'F -4 2 3'
_cell_length_a 7.442
_cell_length_b 7.442
_cell_length_c 7.442
_cell_angle_alpha 90.00
_cell_angle_beta 90.00
_cell_angle_gamma 90.00
loop_
_atom_site_label
_atom_site_fract_x
_atom_site_fract_y
_atom_site_fract_z
Li1 0.000 0.000 0.000
Y1 0.250 0.250 0.250
Pu1 0.250 0.250 0.750
Hg1 0.000 0.000 0.500

# Rb2LiHg, relaxed, DFT PBE
# Crystal system = tetragonal
# Size of the total moment = 0.000 μB per atom
# Raw total energy = -0.0351 Ha/atom
# N(E_F) = 16.0 states/eV per cell
data_Rb2LiHg
_chemical_formula_sum 'Rb8 Li4 Hg4'
_symmetry_space_group_name_H-M 'I -4 2 d'
_symmetry_Int_Tables_number 122
_symmetry_space_group_name_Hall 'I -4 2bw'
_cell_length_a 10.279
_cell_length_b 10.279
_cell_length_c 7.496
_cell_angle_alpha 90.00
_cell_angle_beta 90.00
_cell_angle_gamma 90.00
loop_
_atom_site_label
_atom_site_fract_x
_atom_site_fract_y
_atom_site_fract_z
Rb1 0.226 0.250 0.125
Li1 0.000 0.000 0.500
Hg1 0.000 0.000 0.000

# Rb2Li2Hg, relaxed, DFT PBE
# Crystal system = tetragonal
# Size of the total moment = 0.000 μB per atom
# Raw total energy = -0.0415 Ha/atom
# N(E_F) = 9.4 states/eV per cell
# Polymorph energy (0 for the lowest one) = 5.9 kJ/mol of atoms
data_Rb2Li2Hg
_chemical_formula_sum 'Rb4 Li4 Hg2'
_symmetry_space_group_name_H-M 'I 4/m m m'
_symmetry_Int_Tables_number 139
_symmetry_space_group_name_Hall '-I 4 2'
_cell_length_a 7.227
_cell_length_b 7.227
_cell_length_c 8.512
_cell_angle_alpha 90.00
_cell_angle_beta 90.00
_cell_angle_gamma 90.00
loop_
_atom_site_label
_atom_site_fract_x
_atom_site_fract_y
_atom_site_fract_z
Rb1 0.000 0.500 0.250
Li1 0.000 0.000 0.170
Hg1 0.000 0.000 0.500

# RbLiHg, relaxed, DFT PBE
# Crystal system = tetragonal
# Size of the total moment = 0.000 μB per atom
# Raw total energy = -0.0452 Ha/atom
# N(E_F) = 2.7 states/eV per cell
# Polymorph energy (0 for the lowest one) = 0.0 kJ/mol of atoms
data_RbLiHg
_chemical_formula_sum 'Rb2 Li2 Hg2'
_symmetry_space_group_name_H-M 'P 4/n m m'
_symmetry_Int_Tables_number 129
_cell_length_a 4.871
_cell_length_b 4.871
_cell_length_c 8.873
_cell_angle_alpha 90.00
_cell_angle_beta 90.00
_cell_angle_gamma 90.00
loop_
_symmetry_equiv_pos_as_xyz
'x,y,z'
'-x,-y,-z'
'-y+1/2,x,z'
'y+1/2,-x,-z'
'-x+1/2,-y+1/2,z'
'x+1/2,y+1/2,-z'
'y,-x+1/2,z'
'-y,x+1/2,-z'
'x+1/2,-y,-z'
'-x+1/2,y,z'
'-y,-x,-z'
'y,x,z'
'-x,y+1/2,-z'
'x,-y+1/2,z'
'y+1/2,x+1/2,-z'
'-y+1/2,-x+1/2,z'
loop_
_atom_site_label
_atom_site_fract_x
_atom_site_fract_y
_atom_site_fract_z
Rb1 0.250 0.250 0.155
Li1 0.250 0.750 0.500
Hg1 0.250 0.250 0.677

# Rb2LiHg10, relaxed, DFT PBE
# Crystal system = orthorhombic
# Size of the total moment = 0.000 μB per atom
# Raw total energy = -0.0250 Ha/atom
# N(E_F) = 10.4 states/eV per cell
data_Rb2LiHg10
_chemical_formula_sum 'Rb4 Li2 Hg20'
_symmetry_space_group_name_H-M 'P b a m'
_symmetry_Int_Tables_number 55
_cell_length_a 9.130
_cell_length_b 13.456
_cell_length_c 7.353
_cell_angle_alpha 90.00
_cell_angle_beta 90.00
_cell_angle_gamma 90.00
loop_
_symmetry_equiv_pos_as_xyz
'x,y,z'
'-x,-y,-z'
'-x,-y,z'
'x,y,-z'
'x+1/2,-y+1/2,-z'
'-x+1/2,y+1/2,z'
'-x+1/2,y+1/2,-z'
'x+1/2,-y+1/2,z'
loop_
_atom_site_label
_atom_site_fract_x
_atom_site_fract_y
_atom_site_fract_z
Rb1 0.054 0.177 0.000
Li1 0.000 0.500 0.500
Hg1 0.071 0.301 0.500
Hg2 0.099 0.898 0.500
Hg3 0.171 0.456 0.196
Hg4 0.245 0.621 0.500

# RbLiHg, relaxed, DFT PBE
# Crystal system = tetragonal
# Size of the total moment = 0.000 μB per atom
# Raw total energy = -0.0437 Ha/atom
# N(E_F) = 2.7 states/eV per cell
# Polymorph energy (0 for the lowest one) = 3.9 kJ/mol of atoms
data_RbLiHg
_chemical_formula_sum 'Rb2 Li2 Hg2'
_symmetry_space_group_name_H-M 'I 4 m m'
_symmetry_Int_Tables_number 107
_symmetry_space_group_name_Hall 'I 4 -2'
_cell_length_a 3.960
_cell_length_b 3.960
_cell_length_c 12.991
_cell_angle_alpha 90.00
_cell_angle_beta 90.00
_cell_angle_gamma 90.00
loop_
_atom_site_label
_atom_site_fract_x
_atom_site_fract_y
_atom_site_fract_z
Rb1 0.000 0.000 0.000
Li1 0.000 0.000 0.263
Hg1 0.000 0.000 0.714

# Rb2LiHg, relaxed, DFT PBE
# Crystal system = trigonal
# Size of the total moment = 0.000 μB per atom
# Raw total energy = -0.0332 Ha/atom
# N(E_F) = 9.4 states/eV per cell
data_Rb2LiHg
_chemical_formula_sum 'Rb6 Li3 Hg3'
_symmetry_space_group_name_H-M 'R -3 m'
_symmetry_Int_Tables_number 166
_symmetry_space_group_name_Hall '-R 3 2"'
_cell_length_a 4.3021
_cell_length_b 4.3021
_cell_length_c 38.7856
_cell_angle_alpha 90.00
_cell_angle_beta 90.00
_cell_angle_gamma 120.00
loop_
_atom_site_label
_atom_site_fract_x
_atom_site_fract_y
_atom_site_fract_z
Rb1 0.0000 0.0000 0.0961
Li1 0.0000 0.0000 0.0000
Hg1 0.0000 0.0000 0.5000

# Rb2Li2Hg, relaxed, DFT PBE
# Crystal system = tetragonal
# Size of the total moment = 0.000 μB per atom
# Raw total energy = -0.0437 Ha/atom
# N(E_F) = 5.3 states/eV per cell
# Polymorph energy (0 for the lowest one) = 0.0 kJ/mol of atoms
data_Rb2Li2Hg
_chemical_formula_sum 'Rb4 Li4 Hg2'
_symmetry_space_group_name_H-M 'P 4/m b m'
_symmetry_Int_Tables_number 127
_symmetry_space_group_name_Hall '-P 4 2ab'
_cell_length_a 7.816
_cell_length_b 7.816
_cell_length_c 6.333
_cell_angle_alpha 90.00
_cell_angle_beta 90.00
_cell_angle_gamma 90.00
loop_
_atom_site_label
_atom_site_fract_x
_atom_site_fract_y
_atom_site_fract_z
Rb1 0.190 0.310 0.000
Li1 0.149 0.649 0.500
Hg1 0.000 0.000 0.500

# RbLiHg, relaxed, DFT PBE
# Crystal system = hexagonal
# Size of the total moment = 0.000 μB per atom
# Raw total energy = -0.0431 Ha/atom
# N(E_F) = 1.4 states/eV per cell
# Polymorph energy (0 for the lowest one) = 5.6 kJ/mol of atoms
data_RbLiHg
_chemical_formula_sum 'Rb1 Li1 Hg1'
_symmetry_space_group_name_H-M 'P -6 m 2'
_symmetry_Int_Tables_number 187
_symmetry_space_group_name_Hall 'P -6 2'
_cell_length_a 4.8419
_cell_length_b 4.8419
_cell_length_c 5.5622
_cell_angle_alpha 90.00
_cell_angle_beta 90.00
_cell_angle_gamma 120.00
loop_
_atom_site_label
_atom_site_fract_x
_atom_site_fract_y
_atom_site_fract_z
Rb1 0.0000 0.0000 0.0000
Li1 0.6667 0.3333 0.5000
Hg1 0.3333 0.6667 0.5000